Entry 1:
Here is Tb2CeDy after structural relaxation from Alexandria. Energies are from PBE.

Unit cell a=5.008 b=5.004 c=5.004 alpha=90.00 beta=90.00 gamma=90.00
Last column: magnetic moment on the atom in μB.
Fractional positions:
Dy 0.500 0.500 0.500  0.00
Tb 0.000 0.500 0.000  -0.01
Tb 0.000 0.000 0.500  -0.01
Ce 0.500 0.000 0.000  0.47

Computed properties:
- Electronic total energy: -4.882 eV per atom
- Energy above the lowest structure with this stoichiometry: 10 meV per atom
- Total magnetic moment: 0.49 Bohr magnetons per cell
- Energy of formation from the pure elements: 67 meV/atom

Entry 2:
Here is TbCeDyTc after structural relaxation from Alexandria. Energies are from PBE.

Unit cell a=4.455 b=4.455 c=6.976 alpha=90.02 beta=108.60 gamma=120.01
Fractional positions:
Ce 0.838 0.283 0.121
Tc 0.529 0.629 0.159
Tb 0.951 0.840 0.791
Dy 0.375 0.052 0.426

Computed properties:
- Electronic total energy: -6.263 eV per atom
- Total magnetic moment: 0.00 Bohr magnetons per cell
- Energy of formation from the pure elements: 120 meV/atom

Entry 3:
Here is TbCe4Dy3Te8 after structural relaxation from Alexandria. Energies are from PBE.

Unit cell a=8.776 b=8.925 c=8.776 alpha=119.45 beta=120.00 gamma=90.00
Last column: magnetic moment on the atom in μB.
Fractional positions:
Ce 0.000 0.000 0.000  1.01
Ce 0.000 0.000 0.500  1.01
Ce 0.500 0.000 0.500  1.01
Ce 0.500 0.000 0.000  1.00
Te 0.753 0.261 0.506  -0.01
Te 0.746 0.739 0.992  -0.01
Te 0.753 0.261 0.008  -0.01
Te 0.254 0.262 0.508  -0.01
Te 0.746 0.738 0.492  -0.01
Te 0.247 0.739 0.494  -0.01
Te 0.247 0.739 0.992  -0.01
Te 0.254 0.261 0.008  -0.01
Dy 0.500 0.500 0.000  0.00
Dy 0.500 0.500 0.500  0.00
Dy 0.000 0.500 0.500  0.00
Tb 0.000 0.500 0.000  0.00

Computed properties:
- Energy relative to the elements, uncorrected: -1.340 eV per atom
- Electronic total energy: -5.546 eV per atom
- Total magnetic moment: 5.00 Bohr magnetons per cell

Entry 4:
Here is Tb2CeDy3Te6 after structural relaxation from Alexandria. Energies are from PBE.

Unit cell a=4.354 b=8.828 c=9.804 alpha=103.19 beta=102.83 gamma=90.00
Last column: magnetic moment on the atom in μB.
Fractional positions:
Te 0.668 0.584 0.335  0.00
Te 0.330 0.916 0.659  0.00
Te 0.000 0.258 0.999  -0.01
Te 0.000 0.742 0.001  -0.01
Te 0.332 0.416 0.665  0.00
Te 0.670 0.084 0.341  0.00
Dy 0.500 0.500 0.000  0.01
Dy 0.165 0.834 0.329  0.01
Dy 0.835 0.166 0.671  0.01
Ce 0.500 0.000 0.000  0.96
Tb 0.164 0.329 0.328  0.02
Tb 0.836 0.671 0.672  0.02

Computed properties:
- Energy relative to the elements, uncorrected: -1.308 eV per atom
- Electronic total energy: -5.296 eV per atom
- Total magnetic moment: 1.31 Bohr magnetons per cell

Entry 5:
Here is TbCe2DyTe5 after structural relaxation from Alexandria. Energies are from PBE.

Unit cell a=5.550 b=5.550 c=11.573 alpha=90.00 beta=90.00 gamma=90.00
Last column: magnetic moment on the atom in μB.
Fractional positions:
Te 0.500 0.500 0.000  -0.01
Te 0.500 0.000 0.500  -0.02
Te 0.000 0.000 0.756  -0.01
Te 0.000 0.500 0.500  -0.02
Te 0.000 0.000 0.244  -0.01
Ce 0.500 0.500 0.677  1.37
Ce 0.500 0.500 0.323  1.37
Tb 0.000 0.000 0.500  0.07
Dy 0.000 0.000 0.000  0.05

Computed properties:
- Energy relative to the elements, uncorrected: -0.803 eV per atom
- Electronic total energy: -4.893 eV per atom
- Total magnetic moment: 3.43 Bohr magnetons per cell

Entry 6:
Here is TbCe2Dy3Te6 after structural relaxation from Alexandria. Energies are from PBE.

Unit cell a=4.368 b=8.878 c=9.868 alpha=103.78 beta=102.79 gamma=90.00
Last column: magnetic moment on the atom in μB.
Fractional positions:
Te 0.003 0.751 0.006  0.00
Te 0.997 0.249 0.994  0.00
Te 0.666 0.076 0.332  -0.01
Te 0.334 0.924 0.668  -0.01
Te 0.664 0.590 0.327  -0.01
Te 0.336 0.410 0.673  -0.01
Ce 0.832 0.664 0.665  0.99
Ce 0.168 0.336 0.335  0.99
Dy 0.500 0.500 0.000  0.01
Dy 0.168 0.834 0.336  0.01
Dy 0.832 0.166 0.664  0.01
Tb 0.500 0.000 0.000  0.04

Computed properties:
- Energy relative to the elements, uncorrected: -1.322 eV per atom
- Electronic total energy: -5.418 eV per atom
- Total magnetic moment: 2.54 Bohr magnetons per cell

Question: Which of these has the highest electronic total energy?
Answer: Tb2CeDy